DFT (PBE-GGA) results for Zr5Sn5H2 after structural relaxation.

Properties
DFT total energy in hartree per atom: -0.229
Size of the total moment in μB/cell: 0.0

```
Zr5Sn5H2
1.0
5.254 -2.045 0.000
5.254 2.045 0.000
-0.193 0.000 10.886
Zr Sn H
5 5 2
direct
0.000 0.000 0.000 Zr
0.077 0.077 0.681 Zr
0.369 0.369 0.817 Zr
0.631 0.631 0.183 Zr
0.923 0.923 0.319 Zr
0.213 0.213 0.384 Sn
0.334 0.334 0.114 Sn
0.500 0.500 0.500 Sn
0.666 0.666 0.886 Sn
0.787 0.787 0.616 Sn
0.057 0.057 0.181 H
0.943 0.943 0.819 H
```

---

DFT (PBE-GGA) results for Pm7Nd2Ho2 after structural relaxation.

Properties
Energy of formation from the pure elements in eV/atom: 0.1383
Size of the total moment in μB/cell: 0.0
Polymorph energy (0 for the lowest one) in kcal/mol of atoms: 0.000

```
Pm7Nd2Ho2
1.0
5.782 -5.777 0.000
5.782 5.777 0.000
-2.327 0.000 5.657
Pm Nd Ho
7 2 2
direct
0.000 0.000 0.000 Pm
0.050 0.588 0.822 Pm
0.412 0.950 0.178 Pm
0.422 0.422 0.200 Pm
0.578 0.578 0.800 Pm
0.588 0.050 0.822 Pm
0.950 0.412 0.178 Pm
0.228 0.228 0.597 Nd
0.772 0.772 0.403 Nd
0.219 0.781 0.500 Ho
0.781 0.219 0.500 Ho
```

---

DFT (PBE-GGA) results for LaNd3Tm2 after structural relaxation.

Properties
Energy of formation from the pure elements in eV/atom: 0.2656
Size of the total moment in μB/cell: 0.0
Polymorph energy (0 for the lowest one) in kcal/mol of atoms: 0.000

```
LaNd3Tm2
1.0
7.461 -5.121 0.000
7.461 5.121 0.000
0.000 0.000 5.622
La Nd Tm
2 6 4
direct
0.245 0.755 0.750 La
0.755 0.245 0.250 La
0.138 0.394 0.250 Nd
0.394 0.138 0.750 Nd
0.407 0.593 0.250 Nd
0.593 0.407 0.750 Nd
0.606 0.862 0.250 Nd
0.862 0.606 0.750 Nd
0.014 0.201 0.750 Tm
0.201 0.014 0.250 Tm
0.799 0.986 0.750 Tm
0.986 0.799 0.250 Tm
```